The following is a PBE calculation of a relaxed structure of La4PdSe2S, from the Alexandria database.

The structure in POSCAR format:
```
La4PdSe2S
1.0
7.450 0.000 0.000
0.000 4.216 0.000
-2.486 0.000 7.064
La Pd Se S
4 1 2 1
Direct
0.239 0.000 0.243
0.252 0.500 0.760
0.748 0.500 0.240
0.761 0.000 0.757
0.500 0.000 0.000
0.000 0.000 0.500
0.500 0.500 0.500
0.000 0.500 0.000
```

Values from the calculation:
Space group: P2/m
Magnetic moment in μB per formula unit: 0.0
Formation energy (no corrections) in eV per atom: -1.699



The following is a PBE calculation of a relaxed structure of TaMo, from the Alexandria database.

The structure in POSCAR format:
```
TaMo
1.0
3.219 0.000 0.000
0.000 3.219 0.000
0.000 0.000 6.519
Ta Mo
2 2
Direct
0.250 0.250 0.132
0.750 0.750 0.868
0.250 0.250 0.619
0.750 0.750 0.381
```

Values from the calculation:
Formation energy in eV/atom: -0.146
Space group: P4/nmm
Magnetic moment in μB per formula unit: 0.0